{"formula": "PrTmSbAs", "functional": "PBE", "state": "optimized geometry", "lattice_angstrom": [[4.305, 0.000, 0.000], [2.153, 3.728, 0.000], [2.153, 1.243, 7.090]], "species": ["Pr", "Tm", "Sb", "As"], "fractional_positions": [[0.256, 0.256, 0.233], [0.744, 0.744, 0.767], [0.495, 0.495, 0.515], [0.005, 0.005, 0.986]], "formation_energy_uncorrected_ev_per_atom": -1.29, "magnetic_moment_mub_per_cell": 0.00, "final_energy_ev_per_atom": -5.79}

=====

{"formula": "CeY5Bi6", "functional": "PBE", "state": "optimized geometry", "lattice_angstrom": [[7.801, 0.212, 0.000], [2.400, 7.419, 0.000], [1.200, 3.710, 6.758]], "species": ["Ce", "Y", "Y", "Y", "Y", "Y", "Bi", "Bi", "Bi", "Bi", "Bi", "Bi"], "fractional_positions": [[0.000, 0.000, 0.000], [0.500, 0.165, 0.670], [0.000, 0.333, 0.334], [0.500, 0.500, 0.000], [0.000, 0.667, 0.666], [0.500, 0.835, 0.330], [0.748, 0.084, 0.336], [0.252, 0.580, 0.336], [0.251, 0.253, 0.000], [0.749, 0.747, 0.000], [0.748, 0.420, 0.664], [0.252, 0.916, 0.664]], "magnetic_moment_mub_per_cell": 0.74, "final_energy_ev_per_atom": -6.01}

=====

{"formula": "LiPmNdFe", "functional": "PBE", "state": "optimized geometry", "lattice_angstrom": [[-1.666, -4.654, 0.920], [1.494, -3.825, -2.902], [3.135, -3.475, 1.838]], "species": ["Li", "Nd", "Fe", "Pm"], "fractional_positions": [[0.000, 0.000, 0.000], [0.250, 0.250, 0.250], [0.500, 0.500, 0.500], [0.750, 0.750, 0.750]], "magnetic_moment_mub_per_cell": 0.78, "final_energy_ev_per_atom": -4.80}

=====

{"formula": "Cs2RbGe2Cl7", "functional": "PBE", "state": "optimized geometry", "lattice_angstrom": [[-3.781, -1.310, -3.665], [3.798, -0.242, -3.868], [1.983, -14.231, -0.789]], "species": ["Cs", "Cs", "Rb", "Ge", "Ge", "Cl", "Cl", "Cl", "Cl", "Cl", "Cl", "Cl"], "fractional_positions": [[0.817, 0.817, 0.363], [0.183, 0.183, 0.637], [0.000, 0.000, 0.000], [0.613, 0.613, 0.806], [0.387, 0.387, 0.194], [0.500, 0.500, 0.000], [0.298, 0.298, 0.385], [0.702, 0.702, 0.615], [0.943, 0.406, 0.187], [0.406, 0.943, 0.187], [0.594, 0.057, 0.813], [0.057, 0.594, 0.813]], "formation_energy_uncorrected_ev_per_atom": -1.43, "magnetic_moment_mub_per_cell": 0.00, "final_energy_ev_per_atom": -3.50}

=====

{"formula": "Rb10Au4O", "functional": "PBE", "state": "optimized geometry", "lattice_angstrom": [[5.703, 0.000, 0.701], [2.809, 4.964, 0.701], [-0.066, -0.038, 24.093]], "species": ["Rb", "Rb", "Rb", "Rb", "Rb", "Rb", "Rb", "Rb", "Rb", "Rb", "Au", "Au", "Au", "Au", "O"], "fractional_positions": [[0.962, 0.962, 0.114], [0.149, 0.149, 0.552], [0.554, 0.554, 0.337], [0.342, 0.342, 0.973], [0.744, 0.744, 0.768], [0.658, 0.658, 0.027], [0.851, 0.851, 0.448], [0.256, 0.256, 0.232], [0.038, 0.038, 0.886], [0.446, 0.446, 0.663], [0.392, 0.392, 0.824], [0.797, 0.797, 0.608], [0.203, 0.203, 0.392], [0.608, 0.608, 0.176], [0.000, 0.000, 0.000]], "formation_energy_uncorrected_ev_per_atom": -0.29, "magnetic_moment_mub_per_cell": 2.57, "final_energy_ev_per_atom": -2.14}

=====

{"formula": "TaOs2PtS", "functional": "PBE", "state": "optimized geometry", "lattice_angstrom": [[4.806, 0.000, 0.000], [0.000, 4.893, 0.000], [0.000, 0.000, 4.806]], "species": ["S", "Os", "Os", "Pt", "Ta"], "fractional_positions": [[0.500, 0.500, 0.500], [0.000, 0.000, 0.500], [0.500, 0.000, 0.000], [0.000, 0.500, 0.000], [0.000, 0.000, 0.000]], "formation_energy_uncorrected_ev_per_atom": 2.16, "magnetic_moment_mub_per_cell": 2.80, "final_energy_ev_per_atom": -6.73}